The following is a DFT calculation (GGA-PBE) of crystalline Nb2AlHRh at its relaxed geometry.

Lattice parameters (Å, degrees): 3.902 3.902 4.474 90.00 90.00 90.00
Fractional coordinates of all 5 atoms:
Nb: 0.000 0.500 0.000
Nb: 0.500 0.000 0.000
Al: 0.000 0.000 0.500
H: 0.000 0.000 0.000
Rh: 0.500 0.500 0.500

Output
magnetic moment: 0.000 μB per atom
crystal system: tetragonal
D(E_F): 2.6 states/eV/f.u.
E: -35.99 eV/cell